Entry 1:
DFT (PBE) results for a geometry-optimized TlCoPt structure.

Properties
The excess energy over the best structure of this formula in the dataset is 0.000 eV per atom. As for the formation enthalpy at 0 K: 0.283 eV/atom.

Geometry as extended XYZ:
```
3
Lattice="6.100 -0.013 0.013 5.376 2.884 0.009 0.725 0.186 2.891" Properties=species:S:1:pos:R:3 pbc="T T T"
Pt 4.542 1.139 1.872
Co 11.318 2.832 0.065
Tl 7.817 1.957 0.999
```


Entry 2:
DFT (PBE) results for a geometry-optimized Te4AsPb5 structure.

Properties
The value obtained for the energy relative to the elements, uncorrected is -0.271 eV per atom.

Geometry as extended XYZ:
```
10
Lattice="4.494 0.000 -0.633 -0.089 4.493 -0.633 0.051 0.052 16.624" Properties=species:S:1:pos:R:3 pbc="T T T"
Pb 0.413 0.421 2.928
Pb 3.113 3.176 5.831
Pb 4.043 4.124 12.429
Pb 2.202 2.246 -0.633
Pb 1.343 1.369 9.526
Te 2.656 2.709 2.587
Te 3.562 3.634 9.015
Te 0.894 0.912 6.342
Te 1.800 1.836 12.770
As 0.000 0.000 0.000
```


| no. | density (g cm⁻³) |
| --- | --- |
| 1 | 14.917 |
| 2 | 8.014 |